[1]
# Ac8Ni3SBr4, relaxed, DFT PBE-GGA
data_Ac8Ni3SBr4
_chemical_formula_sum 'Ac24 Ni9 S3 Br12'
_cell_length_a 8.6727
_cell_length_b 8.6727
_cell_length_c 24.2274
_cell_angle_alpha 90.00
_cell_angle_beta 90.00
_cell_angle_gamma 120.00
_symmetry_space_group_name_H-M 'R -3 m'
_symmetry_Int_Tables_number 166
_symmetry_space_group_name_Hall '-R 3 2"'
loop_
_atom_site_label
_atom_site_fract_x
_atom_site_fract_y
_atom_site_fract_z
Ac1 0.0000 0.0000 0.2303
Ac2 0.0082 0.5041 0.7658
Ni1 0.0000 0.5000 0.5000
S1 0.0000 0.0000 0.5000
Br1 0.0000 0.0000 0.0000
Br2 0.0000 0.5000 0.0000
# * density of states at the Fermi level: 43.32 states/eV per cell
# * energy: -4.8233 eV/atom
# * energy relative to the elements, uncorrected: -1.0089 eV/atom


[2]
# Ac4NiS2Br, relaxed, DFT PBE-GGA
data_Ac4NiS2Br
_chemical_formula_sum 'Ac4 Ni1 S2 Br1'
_cell_length_a 7.690
_cell_length_b 4.207
_cell_length_c 7.773
_cell_angle_alpha 90.00
_cell_angle_beta 108.36
_cell_angle_gamma 90.00
_symmetry_space_group_name_H-M 'P 1 2/m 1'
_symmetry_Int_Tables_number 10
_symmetry_space_group_name_Hall '-P 2y'
loop_
_atom_site_label
_atom_site_fract_x
_atom_site_fract_y
_atom_site_fract_z
Ac1 0.230 0.000 0.231
Ac2 0.261 0.500 0.773
Ni1 0.500 0.000 0.000
S1 0.000 0.000 0.500
S2 0.000 0.500 0.000
Br1 0.500 0.500 0.500
# * density of states at the Fermi level: 5.41 states/eV per cell
# * energy: -5.3448 eV/atom
# * energy relative to the elements, uncorrected: -1.3270 eV/atom


[3]
# Ac4NiSBr2, relaxed, DFT PBE-GGA
data_Ac4NiSBr2
_chemical_formula_sum 'Ac4 Ni1 S1 Br2'
_cell_length_a 7.696
_cell_length_b 4.212
_cell_length_c 8.364
_cell_angle_alpha 90.00
_cell_angle_beta 107.55
_cell_angle_gamma 90.00
_symmetry_space_group_name_H-M 'P 1 2/m 1'
_symmetry_Int_Tables_number 10
_symmetry_space_group_name_Hall '-P 2y'
loop_
_atom_site_label
_atom_site_fract_x
_atom_site_fract_y
_atom_site_fract_z
Ac1 0.218 0.000 0.199
Ac2 0.265 0.500 0.791
Ni1 0.000 0.500 0.000
S1 0.500 0.000 0.000
Br1 0.000 0.000 0.500
Br2 0.500 0.500 0.500
# * density of states at the Fermi level: 4.84 states/eV per cell
# * energy: -4.9155 eV/atom
# * energy relative to the elements, uncorrected: -1.2045 eV/atom


[4]
# Ac4NiSbBr2, relaxed, DFT PBE-GGA
data_Ac4NiSbBr2
_chemical_formula_sum 'Ac4 Ni1 Sb1 Br2'
_cell_length_a 8.084
_cell_length_b 4.394
_cell_length_c 8.352
_cell_angle_alpha 90.00
_cell_angle_beta 107.30
_cell_angle_gamma 90.00
_symmetry_space_group_name_H-M 'P 1 2/m 1'
_symmetry_Int_Tables_number 10
_symmetry_space_group_name_Hall '-P 2y'
loop_
_atom_site_label
_atom_site_fract_x
_atom_site_fract_y
_atom_site_fract_z
Ac1 0.201 0.000 0.204
Ac2 0.229 0.500 0.762
Ni1 0.000 0.500 0.000
Sb1 0.000 0.000 0.500
Br1 0.500 0.000 0.000
Br2 0.500 0.500 0.500
# * density of states at the Fermi level: 5.16 states/eV per cell
# * energy: -4.7017 eV/atom
# * energy relative to the elements, uncorrected: -0.9913 eV/atom


[5]
# Ac4NiSeBr2, relaxed, DFT PBE-GGA
data_Ac4NiSeBr2
_chemical_formula_sum 'Ac4 Ni1 Se1 Br2'
_cell_length_a 8.001
_cell_length_b 4.272
_cell_length_c 8.187
_cell_angle_alpha 90.00
_cell_angle_beta 107.61
_cell_angle_gamma 90.00
_symmetry_space_group_name_H-M 'P 1 2/m 1'
_symmetry_Int_Tables_number 10
_symmetry_space_group_name_Hall '-P 2y'
loop_
_atom_site_label
_atom_site_fract_x
_atom_site_fract_y
_atom_site_fract_z
Ac1 0.211 0.000 0.202
Ac2 0.250 0.500 0.782
Ni1 0.000 0.500 0.000
Se1 0.500 0.000 0.000
Br1 0.000 0.000 0.500
Br2 0.500 0.500 0.500
# * density of states at the Fermi level: 5.09 states/eV per cell
# * energy: -4.7915 eV/atom
# * energy relative to the elements, uncorrected: -1.1609 eV/atom


[6]
# Ac4SiNiBr2, relaxed, DFT PBE-GGA
data_Ac4SiNiBr2
_chemical_formula_sum 'Ac4 Si1 Ni1 Br2'
_cell_length_a 8.005
_cell_length_b 4.332
_cell_length_c 8.180
_cell_angle_alpha 90.00
_cell_angle_beta 106.76
_cell_angle_gamma 90.00
_symmetry_space_group_name_H-M 'P 1 2/m 1'
_symmetry_Int_Tables_number 10
_symmetry_space_group_name_Hall '-P 2y'
loop_
_atom_site_label
_atom_site_fract_x
_atom_site_fract_y
_atom_site_fract_z
Ac1 0.217 0.000 0.196
Ac2 0.258 0.500 0.787
Si1 0.500 0.000 0.000
Ni1 0.000 0.500 0.000
Br1 0.000 0.000 0.500
Br2 0.500 0.500 0.500
# * density of states at the Fermi level: 6.40 states/eV per cell
# * energy: -4.7666 eV/atom
# * energy relative to the elements, uncorrected: -0.8936 eV/atom


[7]
# Ac6Si2NiBr3, relaxed, DFT PBE-GGA
data_Ac6Si2NiBr3
_chemical_formula_sum 'Ac12 Si4 Ni2 Br6'
_cell_length_a 19.899
_cell_length_b 4.473
_cell_length_c 9.435
_cell_angle_alpha 90.00
_cell_angle_beta 104.45
_cell_angle_gamma 90.00
_symmetry_space_group_name_H-M 'C 1 2/m 1'
_symmetry_Int_Tables_number 12
_symmetry_space_group_name_Hall '-C 2y'
loop_
_atom_site_label
_atom_site_fract_x
_atom_site_fract_y
_atom_site_fract_z
Ac1 0.003 0.000 0.222
Ac2 0.149 0.500 0.101
Ac3 0.174 0.500 0.566
Si1 0.163 0.000 0.336
Ni1 0.000 0.500 0.000
Br1 0.000 0.500 0.500
Br2 0.177 0.000 0.841
# * density of states at the Fermi level: 17.12 states/eV per cell
# * energy: -4.8024 eV/atom
# * energy relative to the elements, uncorrected: -0.9443 eV/atom


[8]
# AcNpBr2, relaxed, DFT PBE-GGA
data_AcNpBr2
_chemical_formula_sum 'Ac3 Np3 Br6'
_cell_length_a 3.7606
_cell_length_b 3.7606
_cell_length_c 32.2228
_cell_angle_alpha 90.00
_cell_angle_beta 90.00
_cell_angle_gamma 120.00
_symmetry_space_group_name_H-M 'R -3 m'
_symmetry_Int_Tables_number 166
_symmetry_space_group_name_Hall '-R 3 2"'
loop_
_atom_site_label
_atom_site_fract_x
_atom_site_fract_y
_atom_site_fract_z
Ac1 0.0000 0.0000 0.0000
Np1 0.0000 0.0000 0.5000
Br1 0.0000 0.0000 0.4071
# * density of states at the Fermi level: 29.60 states/eV per cell
# * energy: -5.7561 eV/atom
# * energy relative to the elements, uncorrected: -0.6573 eV/atom


[9]
# Ac3NpBr2O6, relaxed, DFT PBE-GGA
data_Ac3NpBr2O6
_chemical_formula_sum 'Ac6 Np2 Br4 O12'
_cell_length_a 13.053
_cell_length_b 7.184
_cell_length_c 5.933
_cell_angle_alpha 90.00
_cell_angle_beta 100.75
_cell_angle_gamma 90.00
_symmetry_space_group_name_H-M 'C 1 2/m 1'
_symmetry_Int_Tables_number 12
_symmetry_space_group_name_Hall '-C 2y'
loop_
_atom_site_label
_atom_site_fract_x
_atom_site_fract_y
_atom_site_fract_z
Ac1 0.000 0.000 0.000
Ac2 0.250 0.250 0.500
Np1 0.000 0.500 0.500
Br1 0.219 0.000 0.900
O1 0.064 0.260 0.307
O2 0.156 0.500 0.648
# * density of states at the Fermi level: 12.34 states/eV per cell
# * energy: -7.5318 eV/atom
# * energy relative to the elements, uncorrected: -2.6683 eV/atom


[10]
# AcBrO, relaxed, DFT PBE-GGA
data_AcBrO
_chemical_formula_sum 'Ac2 Br2 O2'
_cell_length_a 4.310
_cell_length_b 4.310
_cell_length_c 7.697
_cell_angle_alpha 90.00
_cell_angle_beta 90.00
_cell_angle_gamma 90.00
_symmetry_space_group_name_H-M 'P 4/n m m'
_symmetry_Int_Tables_number 129
loop_
_symmetry_equiv_pos_as_xyz
'x,y,z'
'-x,-y,-z'
'-y+1/2,x,z'
'y+1/2,-x,-z'
'-x+1/2,-y+1/2,z'
'x+1/2,y+1/2,-z'
'y,-x+1/2,z'
'-y,x+1/2,-z'
'x+1/2,-y,-z'
'-x+1/2,y,z'
'-y,-x,-z'
'y,x,z'
'-x,y+1/2,-z'
'x,-y+1/2,z'
'y+1/2,x+1/2,-z'
'-y+1/2,-x+1/2,z'
loop_
_atom_site_label
_atom_site_fract_x
_atom_site_fract_y
_atom_site_fract_z
Ac1 0.250 0.250 0.163
Br1 0.250 0.250 0.637
O1 0.250 0.750 0.000
# * density of states at the Fermi level: 0.00 states/eV per cell
# * relative energy among the computed polymorphs: 0 meV per atom
# * energy: -6.5574 eV/atom
# * energy relative to the elements, uncorrected: -2.9776 eV/atom


[11]
# Ac2BrO5, relaxed, DFT PBE-GGA
data_Ac2BrO5
_chemical_formula_sum 'Ac8 Br4 O20'
_cell_length_a 10.289
_cell_length_b 8.042
_cell_length_c 7.230
_cell_angle_alpha 90.00
_cell_angle_beta 103.30
_cell_angle_gamma 90.00
_symmetry_space_group_name_H-M 'P 1 21/c 1'
_symmetry_Int_Tables_number 14
_symmetry_space_group_name_Hall '-P 2ybc'
loop_
_atom_site_label
_atom_site_fract_x
_atom_site_fract_y
_atom_site_fract_z
Ac1 0.024 0.123 0.253
Ac2 0.348 0.129 0.048
Br1 0.335 0.608 0.008
O1 0.092 0.641 0.958
O2 0.115 0.101 0.945
O3 0.280 0.130 0.344
O4 0.392 0.016 0.711
O5 0.400 0.696 0.602
# * density of states at the Fermi level: 0.05 states/eV per cell
# * energy: -6.3055 eV/atom
# * energy relative to the elements, uncorrected: -1.9704 eV/atom


[12]
# Ac2Br3O, relaxed, DFT PBE-GGA
data_Ac2Br3O
_chemical_formula_sum 'Ac8 Br12 O4'
_cell_length_a 17.584
_cell_length_b 4.395
_cell_length_c 11.567
_cell_angle_alpha 90.00
_cell_angle_beta 119.23
_cell_angle_gamma 90.00
_symmetry_space_group_name_H-M 'C 1 2/m 1'
_symmetry_Int_Tables_number 12
_symmetry_space_group_name_Hall '-C 2y'
loop_
_atom_site_label
_atom_site_fract_x
_atom_site_fract_y
_atom_site_fract_z
Ac1 0.084 0.000 0.452
Ac2 0.132 0.500 0.783
Br1 0.049 0.500 0.230
Br2 0.162 0.000 0.009
Br3 0.233 0.500 0.620
O1 0.080 0.000 0.666
# * energy: -5.3994 eV/atom
# * energy relative to the elements, uncorrected: -2.3672 eV/atom


> What is the energy in the seventh record?

-4.8024 eV/atom


> Which value of energy relative to the elements, uncorrected does entry 1 give?

-1.0089 eV/atom


> Look up the energy relative to the elements, uncorrected of the third one.

-1.2045 eV/atom